This record from Alexandria via LeMat-Bulk describes a relaxed BiSbTe2Pd crystal. The functional is GGA-PBEsol.

Structure (extended XYZ):
```
5
Lattice="-1.6742 -1.4867 4.5075 4.9082 0.3872 1.9507 -0.9230 5.0446 1.3210" Properties=species:S:1:pos:R:3 pbc="T T T"
Sb -0.8371 -0.7433 2.2537
Bi 1.1555 1.9726 3.8896
Te -0.4615 2.5223 0.6605
Te 2.4541 0.1936 0.9754
Pd 0.0000 0.0000 0.0000
```

Results
SG = P4/mmm
Electronic total energy = -4.170 eV/atom
Calculated volume = 28.2 Å³/atom
Energy relative to the elements, uncorrected = 0.20 eV per atom

---

This record from Alexandria via LeMat-Bulk describes a relaxed BiSbPd2W crystal. The functional is GGA-PBEsol.

Structure (extended XYZ):
```
5
Lattice="-1.7927 -0.8402 -4.4364 0.7238 -4.7650 0.6099 -4.6812 -0.4579 1.9783" Properties=species:S:1:pos:R:3 pbc="T T T"
Bi -2.8751 -3.0315 -0.9241
W 0.0000 0.0000 0.0000
Pd -0.8963 -0.4201 -2.2182
Pd 0.3619 -2.3825 0.3050
Sb -2.3406 -0.2289 0.9892
```

Results
SG = P4/mmm
Electronic total energy = -6.010 eV/atom
Calculated volume = 24.1 Å³/atom
Energy relative to the elements, uncorrected = 0.90 eV per atom

---

This record from Alexandria via LeMat-Bulk describes a relaxed ScBi3Pd crystal. The functional is GGA-PBEsol.

Structure (extended XYZ):
```
5
Lattice="5.2870 0.0000 0.0000 0.0000 5.2870 0.0000 0.0000 0.0000 5.2870" Properties=species:S:1:pos:R:3 pbc="T T T"
Bi 2.6435 0.0000 0.0000
Bi 0.0000 2.6435 0.0000
Bi 0.0000 0.0000 2.6435
Sc 2.6435 2.6435 2.6435
Pd 0.0000 0.0000 0.0000
```

Results
SG = Pm-3m
Electronic total energy = -4.899 eV/atom
Calculated volume = 29.6 Å³/atom
ΔE_f = 17.9 kJ/mol of atoms

---

This record from Alexandria via LeMat-Bulk describes a relaxed Sc2BiPd2 crystal. The functional is GGA-PBEsol.

Structure (extended XYZ):
```
10
Lattice="-3.2183 0.4553 0.8721 1.2231 -3.7413 6.4669 1.8443 6.5014 3.4124" Properties=species:S:1:pos:R:3 pbc="T T T"
Sc 0.7442 3.1686 7.5858
Sc -0.8951 0.0468 3.1656
Sc 0.0301 -0.7183 6.9793
Sc -0.1809 3.9337 3.7721
Pd 2.2245 0.8151 7.7838
Pd 2.0649 4.2790 5.3866
Pd 0.8430 1.9451 2.0955
Pd 1.0026 -1.5188 4.4928
Bi 1.5337 1.3801 4.9397
Bi 0.0000 0.0000 0.0000
```

Results
SG = P4/mbm
Electronic total energy = -6.701 eV/atom
Calculated volume = 19.3 Å³/atom
ΔE_f = -78.9 kJ/mol of atoms

---

This record from Alexandria via LeMat-Bulk describes a relaxed Bi2Pd2Se crystal. The functional is GGA-PBEsol.

Structure (extended XYZ):
```
5
Lattice="3.8199 0.0000 0.0000 0.0000 3.8199 0.0000 -1.9099 -1.9099 7.6627" Properties=species:S:1:pos:R:3 pbc="T T T"
Bi 1.9099 1.9099 1.7911
Bi 0.0000 0.0000 5.8716
Pd 0.0000 1.9099 3.8314
Pd 1.9099 0.0000 3.8314
Se 0.0000 0.0000 0.0000
```

Results
SG = I4/mmm
Electronic total energy = -5.028 eV/atom
Calculated volume = 22.4 Å³/atom
Energy relative to the elements, uncorrected = -0.16 eV per atom

---

This record from Alexandria via LeMat-Bulk describes a relaxed SiBiPd2 crystal. The functional is GGA-PBEsol.

Structure (extended XYZ):
```
8
Lattice="5.8530 0.0000 0.0000 2.9265 5.0990 0.0000 2.9265 0.0000 5.0990" Properties=species:S:1:pos:R:3 pbc="T T T"
Pd 5.1214 0.3716 2.9211
Pd 5.1214 4.7274 2.1779
Pd 9.5112 2.9211 4.7274
Pd 3.6582 2.1779 0.3716
Bi 0.0000 0.0000 0.0000
Bi 7.3163 2.5495 2.5495
Si 4.3898 2.5495 2.5495
Si 2.9265 0.0000 0.0000
```

Results
SG = I-42d
Electronic total energy = -5.664 eV/atom
Calculated volume = 19.0 Å³/atom
Energy relative to the elements, uncorrected = -0.18 eV per atom

---

This record from Alexandria via LeMat-Bulk describes a relaxed SrSi2BiPd crystal. The functional is GGA-PBEsol.

Structure (extended XYZ):
```
5
Lattice="4.6945 0.0000 0.0000 0.0000 4.6945 0.0000 0.0000 0.0000 5.7730" Properties=species:S:1:pos:R:3 pbc="T T T"
Pd 0.0000 0.0000 0.0000
Bi 0.0000 0.0000 2.8865
Si 2.3472 0.0000 0.0000
Si 0.0000 2.3472 0.0000
Sr 2.3472 2.3472 2.8865
```

Results
SG = P4/mmm
Electronic total energy = -4.744 eV/atom
Calculated volume = 25.4 Å³/atom
Energy relative to the elements, uncorrected = -0.03 eV per atom

---

This record from Alexandria via LeMat-Bulk describes a relaxed SmBiPd crystal. The functional is GGA-PBEsol.

Structure (extended XYZ):
```
3
Lattice="-4.2315 1.9542 -0.8321 -3.8674 -1.7431 2.1028 -2.1702 2.4830 3.3973" Properties=species:S:1:pos:R:3 pbc="T T T"
Bi 0.0000 0.0000 0.0000
Pd -7.7018 2.0206 3.5010
Sm -5.1345 1.3471 2.3340
```

Results
SG = F-43m
Electronic total energy = -6.082 eV/atom
Calculated volume = 25.0 Å³/atom
ΔE_f = -93.6 kJ/mol of atoms

---

This record from Alexandria via LeMat-Bulk describes a relaxed SrBi2Pd2 crystal. The functional is GGA-PBEsol.

Structure (extended XYZ):
```
10
Lattice="4.7940 0.0000 0.0000 0.0000 4.7940 0.0000 0.0000 0.0000 10.8263" Properties=species:S:1:pos:R:3 pbc="T T T"
Sr 2.3970 0.0000 8.2814
Sr 0.0000 2.3970 2.5449
Bi 0.0000 0.0000 5.4131
Bi 2.3970 0.0000 1.3405
Bi 0.0000 2.3970 9.4857
Bi 2.3970 2.3970 5.4131
Pd 0.0000 0.0000 0.0000
Pd 0.0000 2.3970 6.8185
Pd 2.3970 0.0000 4.0077
Pd 2.3970 2.3970 0.0000
```

Results
SG = P4/nmm
Electronic total energy = -5.066 eV/atom
Calculated volume = 24.9 Å³/atom
ΔE_f = -57.9 kJ/mol of atoms

---

This record from Alexandria via LeMat-Bulk describes a relaxed Ta3BiPd crystal. The functional is GGA-PBEsol.

Structure (extended XYZ):
```
5
Lattice="5.0249 0.0000 0.0000 0.0000 5.0249 0.0000 0.0000 0.0000 5.0249" Properties=species:S:1:pos:R:3 pbc="T T T"
Bi 0.0000 0.0000 0.0000
Ta 0.0000 2.5124 0.0000
Ta 0.0000 0.0000 2.5124
Ta 2.5124 0.0000 0.0000
Pd 2.5124 2.5124 2.5124
```

Results
SG = Pm-3m
Electronic total energy = -7.055 eV/atom
Calculated volume = 25.4 Å³/atom
ΔE_f = 243.6 kJ/mol of atoms

---

This record from Alexandria via LeMat-Bulk describes a relaxed TbBiPd crystal. The functional is GGA-PBEsol.

Structure (extended XYZ):
```
3
Lattice="4.6878 0.0000 0.0000 2.3439 4.0598 0.0000 2.3439 1.3533 3.8276" Properties=species:S:1:pos:R:3 pbc="T T T"
Pd 2.3439 1.3533 0.9569
Bi 0.0000 0.0000 0.0000
Tb 4.6878 2.7065 1.9138
```

Results
SG = F-43m
Electronic total energy = -6.058 eV/atom
Calculated volume = 24.3 Å³/atom
ΔE_f = -93.9 kJ/mol of atoms

---

This record from Alexandria via LeMat-Bulk describes a relaxed Tc3BiPd crystal. The functional is GGA-PBEsol.

Structure (extended XYZ):
```
5
Lattice="4.6763 0.0000 0.0000 0.0000 4.6763 0.0000 0.0000 0.0000 4.6763" Properties=species:S:1:pos:R:3 pbc="T T T"
Tc 2.3381 0.0000 0.0000
Tc 0.0000 2.3381 0.0000
Tc 0.0000 0.0000 2.3381
Pd 0.0000 0.0000 0.0000
Bi 2.3381 2.3381 2.3381
```

Results
SG = Pm-3m
Electronic total energy = -6.866 eV/atom
Calculated volume = 20.5 Å³/atom
ΔE_f = 187.4 kJ/mol of atoms